First-principles (PBE) data for crystalline MgOsPd2 at its relaxed geometry, as listed in Alexandria via LeMat-Bulk.

Cell and atoms, written as extended XYZ:
```
8
Lattice="-1.7411 -0.6838 -3.4044 3.4009 -1.1045 -1.5175 -0.7829 -9.3176 0.0557" Properties=species:S:1:pos:R:3 pbc="T T T"
Mg 0.8299 -0.8941 -2.4609
Mg 1.7240 -5.6581 -1.9614
Os 0.0000 0.0000 0.0000
Os -0.8470 -5.4477 -2.9048
Pd -0.8715 -2.8998 -2.3284
Pd 1.7249 -3.1002 -1.3352
Pd 0.0104 -7.6507 -1.7928
Pd 0.8900 -8.5610 -4.2760
```

Calculated values
DFT formation energy: 1.86 eV/f.u.
total magnetic moment: 0.068 μB/atom
total DFT energy (no corrections): -5.338 eV/atom

First-principles (PBE) data for crystalline Y2CdHg2 at its relaxed geometry, as listed in Alexandria via LeMat-Bulk.

Cell and atoms, written as extended XYZ:
```
5
Lattice="4.1367 0.0000 0.0000 0.0000 4.1367 0.0000 2.0684 2.0684 8.3001" Properties=species:S:1:pos:R:3 pbc="T T T"
Y 2.0684 2.0684 1.7014
Y 4.1367 4.1367 6.5987
Hg 4.1367 2.0684 4.1500
Hg 2.0684 4.1367 4.1500
Cd 0.0000 0.0000 0.0000
```

Calculated values
DFT formation energy: -0.51 eV/f.u.
energy above the most stable polymorph in this dataset: 323 meV/atom
total magnetic moment: 0.000 μB/atom
total DFT energy (no corrections): -2.992 eV/atom

First-principles (PBE) data for crystalline ZnCu2Se at its relaxed geometry, as listed in Alexandria via LeMat-Bulk.

Cell and atoms, written as extended XYZ:
```
4
Lattice="4.4299 0.0000 0.0000 2.2149 3.8364 0.0000 2.2149 1.2788 3.6170" Properties=species:S:1:pos:R:3 pbc="T T T"
Cu 0.0000 0.0000 0.0000
Cu 2.2149 1.2788 0.9042
Se 4.4299 2.5576 1.8085
Zn 6.6448 3.8364 2.7127
```

Calculated values
energy above the most stable polymorph in this dataset: 201 meV/atom
energy relative to the elements, uncorrected: 0.220 eV/atom
total magnetic moment: 0.000 μB/atom
total DFT energy (no corrections): -3.018 eV/atom

First-principles (PBE) data for crystalline LaVSn at its relaxed geometry, as listed in Alexandria via LeMat-Bulk.

Cell and atoms, written as extended XYZ:
```
6
Lattice="-3.0018 0.8265 1.6354 3.1847 -2.2382 6.9765 1.3747 5.5148 -0.2637" Properties=species:S:1:pos:R:3 pbc="T T T"
V 3.5479 2.6531 7.0619
V -1.9902 1.4499 1.2863
Sn 0.4236 0.5199 2.4053
Sn 1.1341 3.5832 5.9428
La -0.4150 3.7354 3.0226
La 1.9726 0.3676 5.3256
```

Calculated values
DFT formation energy: -0.21 eV/f.u.
total magnetic moment: 0.001 μB/atom
total DFT energy (no corrections): -6.085 eV/atom

First-principles (PBE) data for crystalline CeMn2H8 at its relaxed geometry, as listed in Alexandria via LeMat-Bulk.

Cell and atoms, written as extended XYZ:
```
11
Lattice="-1.0427 3.6836 -1.2879 1.1650 -0.9784 -3.7417 -4.6358 -1.6647 -1.0081" Properties=species:S:1:pos:R:3 pbc="T T T"
Ce -2.2567 0.5202 -3.0188
Mn -0.5214 1.8418 -0.6440
Mn 0.5825 -0.4892 -1.8708
H -0.7558 1.8097 -4.1183
H -4.3457 1.3084 -2.6458
H -3.6886 0.7565 -4.7561
H -1.4129 2.3615 -2.0080
H -0.1677 -0.2679 -3.3919
H -3.1005 -1.3211 -4.0297
H -0.8248 0.2839 -1.2816
H -3.7576 -0.7692 -1.9194
```

Calculated values
energy above the most stable polymorph in this dataset: 73 meV/atom
total magnetic moment: 0.037 μB/atom
total DFT energy (no corrections): -4.730 eV/atom

First-principles (PBE) data for crystalline CsK2Hg4 at its relaxed geometry, as listed in Alexandria via LeMat-Bulk.

Cell and atoms, written as extended XYZ:
```
14
Lattice="7.5853 -0.1219 -0.8594 -0.1561 6.6685 -2.3240 -0.5716 0.0845 11.0156" Properties=species:S:1:pos:R:3 pbc="T T T"
Cs 5.6471 1.6968 -1.2677
Cs 1.7821 4.8498 -1.9157
K 0.8489 5.2058 2.3132
K 2.1894 2.6248 5.5519
K 6.0088 1.4253 5.5190
K 4.6682 4.0063 2.2803
Hg 5.6651 5.5552 -0.9148
Hg 4.9017 4.5806 7.0747
Hg 1.1925 1.0760 8.7470
Hg 1.9559 2.0506 0.7575
Hg -0.1505 1.6041 3.0309
Hg 3.1924 6.0709 4.8885
Hg 7.0081 5.0270 4.8013
Hg 3.6652 0.5603 2.9437
```

Calculated values
DFT formation energy: -1.62 eV/f.u.
total magnetic moment: 0.000 μB/atom
total DFT energy (no corrections): -0.840 eV/atom

First-principles (PBE) data for crystalline LaHoTh2 at its relaxed geometry, as listed in Alexandria via LeMat-Bulk.

Cell and atoms, written as extended XYZ:
```
4
Lattice="-0.4230 -0.4156 4.1869 4.1619 -0.6587 0.3551 1.0759 7.2444 0.8278" Properties=species:S:1:pos:R:3 pbc="T T T"
Ho 1.8694 -0.5372 2.2710
Th 0.8241 5.5489 0.6341
Th 0.2518 1.6955 0.1937
La 2.4074 3.0851 2.6849
```

Calculated values
DFT formation energy: 0.65 eV/f.u.
energy above the most stable polymorph in this dataset: 134 meV/atom
total magnetic moment: 0.000 μB/atom
total DFT energy (no corrections): -5.925 eV/atom

First-principles (PBE) data for crystalline Sm2Y3Ho6Tm at its relaxed geometry, as listed in Alexandria via LeMat-Bulk.

Cell and atoms, written as extended XYZ:
```
12
Lattice="-3.4106 -5.0066 1.0385 3.5455 2.2795 4.4733 -8.8117 7.6093 1.7038" Properties=species:S:1:pos:R:3 pbc="T T T"
Sm 1.2262 -0.1498 3.3281
Sm -1.0913 -2.5773 2.1837
Y -2.0180 4.8716 4.7536
Y -6.6588 0.0106 2.4620
Y -4.3384 2.4411 3.6078
Ho -7.6643 2.4503 4.8387
Ho -2.1041 -0.1450 4.5687
Ho -1.0125 2.4318 2.3768
Ho -5.3505 4.8740 5.9813
Ho -6.5727 5.0272 2.6469
Ho -3.3264 0.0082 1.2343
Tm 0.0000 0.0000 0.0000
```

Calculated values
DFT formation energy: 0.24 eV/f.u.
total magnetic moment: 0.000 μB/atom
total DFT energy (no corrections): -5.044 eV/atom

First-principles (PBE) data for crystalline CsInGe at its relaxed geometry, as listed in Alexandria via LeMat-Bulk.

Cell and atoms, written as extended XYZ:
```
12
Lattice="9.0326 0.0000 0.0000 0.0000 5.1560 0.0000 0.0000 0.0000 8.3207" Properties=species:S:1:pos:R:3 pbc="T T T"
Cs 8.9599 1.2890 6.9795
Cs 4.5891 3.8670 2.8192
Cs 0.0728 3.8670 1.3412
Cs 4.4435 1.2890 5.5015
Ge 1.4813 1.2890 3.3532
Ge 3.0351 3.8670 7.5135
Ge 7.5514 3.8670 4.9675
Ge 5.9976 1.2890 0.8072
In 7.6264 1.2890 3.4354
In 5.9226 3.8670 7.5958
In 1.4063 3.8670 4.8852
In 3.1101 1.2890 0.7249
```

Calculated values
DFT formation energy: -0.14 eV/f.u.
total magnetic moment: 0.000 μB/atom
total DFT energy (no corrections): -2.784 eV/atom

First-principles (PBE) data for crystalline Ni2TePd at its relaxed geometry, as listed in Alexandria via LeMat-Bulk.

Cell and atoms, written as extended XYZ:
```
4
Lattice="3.6452 0.0000 0.0000 0.0000 4.0124 0.0000 0.0000 0.0000 4.0124" Properties=species:S:1:pos:R:3 pbc="T T T"
Ni 0.0000 0.0000 2.0062
Ni 0.0000 2.0062 0.0000
Te 1.8226 0.0000 0.0000
Pd 1.8226 2.0062 2.0062
```

Calculated values
energy relative to the elements, uncorrected: 0.015 eV/atom
total magnetic moment: 0.001 μB/atom
total DFT energy (no corrections): -4.959 eV/atom